PBE with a Hubbard U HgWI2O, optimized geometry; total DFT energy (no corrections) = -3.480 eV per atom; N(E_F) = 0.551 states/eV/atom; magnetic moment = 2.19 μB per formula unit; SG = P4/mmm (123)
1.0
6.0093 0.0000 0.0000
0.0000 6.0093 0.0000
0.0000 0.0000 3.9030
I O Hg W
2 1 1 1
direct
0.0000 0.5000 0.0000 I
0.5000 0.0000 0.0000 I
0.0000 0.0000 0.5000 O
0.5000 0.5000 0.5000 Hg
0.0000 0.0000 0.0000 W